Here is an optimized crystal structure of Na3Dy3InTe8 from the Alexandria database. Energies are from PBE-GGA.

Values from the calculation:
* E_tot: -4.08 eV per atom
* space-group type: C2/m (12)

Geometry as CIF:
```
data_Na3Dy3InTe8
_cell_length_a 8.682
_cell_length_b 8.682
_cell_length_c 9.241
_cell_angle_alpha 118.13
_cell_angle_beta 118.13
_cell_angle_gamma 59.86
_symmetry_space_group_name_H-M 'P 1'
_symmetry_Int_Tables_number 1
_symmetry_space_group_name_Hall 'P 1'
loop_
_atom_site_label
_atom_site_type_symbol
_atom_site_fract_x
_atom_site_fract_y
_atom_site_fract_z
Na1 Na 0.000 0.000 0.000
Na2 Na 0.000 0.500 0.000
Na3 Na 0.500 0.000 0.000
Dy1 Dy 0.000 0.500 0.500
Dy2 Dy 0.500 0.000 0.500
Dy3 Dy 0.500 0.500 0.500
In1 In 0.000 0.000 0.500
Te1 Te 0.242 0.242 0.730
Te2 Te 0.242 0.745 0.729
Te3 Te 0.255 0.758 0.271
Te4 Te 0.256 0.256 0.268
Te5 Te 0.744 0.744 0.732
Te6 Te 0.745 0.242 0.729
Te7 Te 0.758 0.255 0.271
Te8 Te 0.758 0.758 0.270
```

=====

Here is an optimized crystal structure of YReO2 from the Alexandria database. Energies are from PBE-GGA.

Values from the calculation:
* polymorph energy (0 for the lowest one): 315.0 meV per atom
* space-group type: I-42d (122)

Geometry as CIF:
```
data_YReO2
_cell_length_a 6.896
_cell_length_b 6.896
_cell_length_c 6.896
_cell_angle_alpha 143.34
_cell_angle_beta 143.34
_cell_angle_gamma 52.82
_symmetry_space_group_name_H-M 'P 1'
_symmetry_Int_Tables_number 1
_symmetry_space_group_name_Hall 'P 1'
loop_
_atom_site_label
_atom_site_type_symbol
_atom_site_fract_x
_atom_site_fract_y
_atom_site_fract_z
Y1 Y 0.000 0.000 0.000
Y2 Y 0.750 0.250 0.500
Re1 Re 0.250 0.750 0.500
Re2 Re 0.500 0.500 0.000
O1 O 0.196 0.625 0.071
O2 O 0.375 0.446 0.571
O3 O 0.554 0.125 0.929
O4 O 0.875 0.804 0.429
```

=====

Here is an optimized crystal structure of SrTiNb2H from the Alexandria database. Energies are from PBE-GGA.

Values from the calculation:
* E_tot: -4.78 eV per atom
* space-group type: P4/mmm (123)

Geometry as CIF:
```
data_SrTiNb2H
_cell_length_a 5.298
_cell_length_b 5.298
_cell_length_c 3.490
_cell_angle_alpha 90.00
_cell_angle_beta 90.00
_cell_angle_gamma 90.00
_symmetry_space_group_name_H-M 'P 1'
_symmetry_Int_Tables_number 1
_symmetry_space_group_name_Hall 'P 1'
loop_
_atom_site_label
_atom_site_type_symbol
_atom_site_fract_x
_atom_site_fract_y
_atom_site_fract_z
Sr1 Sr 0.000 0.000 0.000
Ti1 Ti 0.500 0.500 0.500
Nb1 Nb 0.000 0.500 0.000
Nb2 Nb 0.500 0.000 0.000
H1 H 0.000 0.000 0.500
```

=====

Here is an optimized crystal structure of PmNd2Y from the Alexandria database. Energies are from PBE-GGA.

Values from the calculation:
* polymorph energy (0 for the lowest one): 112.6 meV per atom
* ΔE_f: 123.3 meV per atom
* space-group type: Fm-3m (225)

Geometry as CIF:
```
data_PmNd2Y
_cell_length_a 5.797
_cell_length_b 5.797
_cell_length_c 5.797
_cell_angle_alpha 60.00
_cell_angle_beta 60.00
_cell_angle_gamma 60.00
_symmetry_space_group_name_H-M 'P 1'
_symmetry_Int_Tables_number 1
_symmetry_space_group_name_Hall 'P 1'
loop_
_atom_site_label
_atom_site_type_symbol
_atom_site_fract_x
_atom_site_fract_y
_atom_site_fract_z
Pm1 Pm 0.000 0.000 0.000
Nd1 Nd 0.250 0.250 0.250
Nd2 Nd 0.750 0.750 0.750
Y1 Y 0.500 0.500 0.500
```

=====

Here is an optimized crystal structure of NbBiTe2I from the Alexandria database. Energies are from PBE-GGA.

Values from the calculation:
* polymorph energy (0 for the lowest one): 0.0 meV per atom
* space-group type: P4/mmm (123)

Geometry as CIF:
```
data_NbBiTe2I
_cell_length_a 5.481
_cell_length_b 5.481
_cell_length_c 5.530
_cell_angle_alpha 90.00
_cell_angle_beta 90.00
_cell_angle_gamma 90.00
_symmetry_space_group_name_H-M 'P 1'
_symmetry_Int_Tables_number 1
_symmetry_space_group_name_Hall 'P 1'
loop_
_atom_site_label
_atom_site_type_symbol
_atom_site_fract_x
_atom_site_fract_y
_atom_site_fract_z
Nb1 Nb 0.000 0.000 0.000
Bi1 Bi 0.500 0.500 0.500
Te1 Te 0.000 0.500 0.000
Te2 Te 0.500 0.000 0.000
I1 I 0.000 0.000 0.500
```

=====

Here is an optimized crystal structure of Tm2NbCl from the Alexandria database. Energies are from PBE-GGA.

Values from the calculation:
* E_tot: -5.27 eV per atom
* space-group type: R-3m (166)

Geometry as CIF:
```
data_Tm2NbCl
_cell_length_a 10.516
_cell_length_b 10.516
_cell_length_c 10.516
_cell_angle_alpha 17.60
_cell_angle_beta 17.60
_cell_angle_gamma 17.60
_symmetry_space_group_name_H-M 'P 1'
_symmetry_Int_Tables_number 1
_symmetry_space_group_name_Hall 'P 1'
loop_
_atom_site_label
_atom_site_type_symbol
_atom_site_fract_x
_atom_site_fract_y
_atom_site_fract_z
Tm1 Tm 0.094 0.094 0.094
Tm2 Tm 0.906 0.906 0.906
Nb1 Nb 0.000 0.000 0.000
Cl1 Cl 0.500 0.500 0.500
```

=====

Here is an optimized crystal structure of Er2HN from the Alexandria database. Energies are from PBE-GGA.

Values from the calculation:
* polymorph energy (0 for the lowest one): 42.6 meV per atom
* space-group type: R3m (160)

Geometry as CIF:
```
data_Er2HN
_cell_length_a 6.429
_cell_length_b 6.429
_cell_length_c 6.429
_cell_angle_alpha 31.46
_cell_angle_beta 31.46
_cell_angle_gamma 31.46
_symmetry_space_group_name_H-M 'P 1'
_symmetry_Int_Tables_number 1
_symmetry_space_group_name_Hall 'P 1'
loop_
_atom_site_label
_atom_site_type_symbol
_atom_site_fract_x
_atom_site_fract_y
_atom_site_fract_z
Er1 Er 0.000 0.000 0.000
Er2 Er 0.189 0.189 0.189
H1 H 0.364 0.364 0.364
N1 N 0.584 0.584 0.584
```

=====

Here is an optimized crystal structure of TbSm2Zn2 from the Alexandria database. Energies are from PBE-GGA.

Values from the calculation:
* polymorph energy (0 for the lowest one): 100.2 meV per atom
* ΔE_f: -150.2 meV per atom
* space-group type: P2_1/m (11)

Geometry as CIF:
```
data_TbSm2Zn2
_cell_length_a 4.539
_cell_length_b 4.425
_cell_length_c 13.359
_cell_angle_alpha 90.00
_cell_angle_beta 99.65
_cell_angle_gamma 90.00
_symmetry_space_group_name_H-M 'P 1'
_symmetry_Int_Tables_number 1
_symmetry_space_group_name_Hall 'P 1'
loop_
_atom_site_label
_atom_site_type_symbol
_atom_site_fract_x
_atom_site_fract_y
_atom_site_fract_z
Tb1 Tb 0.135 0.250 0.272
Tb2 Tb 0.865 0.750 0.728
Sm1 Sm 0.237 0.750 0.473
Sm2 Sm 0.447 0.250 0.889
Sm3 Sm 0.553 0.750 0.111
Sm4 Sm 0.763 0.250 0.527
Zn1 Zn 0.026 0.250 0.050
Zn2 Zn 0.332 0.250 0.666
Zn3 Zn 0.668 0.750 0.334
Zn4 Zn 0.974 0.750 0.950
```

=====

Here is an optimized crystal structure of KLi2As from the Alexandria database. Energies are from PBE-GGA.

Values from the calculation:
* ΔE_f: -426.8 meV per atom
* space-group type: Pm (6)

Geometry as CIF:
```
data_KLi2As
_cell_length_a 4.656
_cell_length_b 4.636
_cell_length_c 6.089
_cell_angle_alpha 90.00
_cell_angle_beta 112.23
_cell_angle_gamma 90.00
_symmetry_space_group_name_H-M 'P 1'
_symmetry_Int_Tables_number 1
_symmetry_space_group_name_Hall 'P 1'
loop_
_atom_site_label
_atom_site_type_symbol
_atom_site_fract_x
_atom_site_fract_y
_atom_site_fract_z
K1 K 0.000 0.000 0.000
Li1 Li 0.240 0.500 0.482
Li2 Li 0.708 0.000 0.417
As1 As 0.664 0.500 0.329
```

=====

Here is an optimized crystal structure of NaMg3Pb5 from the Alexandria database. Energies are from PBE-GGA.

Values from the calculation:
* ΔE_f: -40.5 meV per atom
* space-group type: P6_3/mcm (193)

Geometry as CIF:
```
data_NaMg3Pb5
_cell_length_a 9.208
_cell_length_b 9.208
_cell_length_c 6.851
_cell_angle_alpha 90.00
_cell_angle_beta 90.00
_cell_angle_gamma 120.00
_symmetry_space_group_name_H-M 'P 1'
_symmetry_Int_Tables_number 1
_symmetry_space_group_name_Hall 'P 1'
loop_
_atom_site_label
_atom_site_type_symbol
_atom_site_fract_x
_atom_site_fract_y
_atom_site_fract_z
Na1 Na 0.000 0.000 0.000
Na2 Na 0.000 0.000 0.500
Mg1 Mg 0.000 0.353 0.250
Mg2 Mg 0.000 0.647 0.750
Mg3 Mg 0.353 0.000 0.250
Mg4 Mg 0.353 0.353 0.750
Mg5 Mg 0.647 0.000 0.750
Mg6 Mg 0.647 0.647 0.250
Pb1 Pb 0.000 0.316 0.750
Pb2 Pb 0.000 0.684 0.250
Pb3 Pb 0.316 0.000 0.750
Pb4 Pb 0.316 0.316 0.250
Pb5 Pb 0.333 0.667 0.000
Pb6 Pb 0.333 0.667 0.500
Pb7 Pb 0.667 0.333 0.000
Pb8 Pb 0.667 0.333 0.500
Pb9 Pb 0.684 0.000 0.250
Pb10 Pb 0.684 0.684 0.750
```

=====

Here is an optimized crystal structure of NiSb2Te from the Alexandria database. Energies are from PBE-GGA.

Values from the calculation:
* E_tot: -4.25 eV per atom
* space-group type: Pm (6)

Geometry as CIF:
```
data_NiSb2Te
_cell_length_a 3.727
_cell_length_b 3.672
_cell_length_c 7.470
_cell_angle_alpha 90.00
_cell_angle_beta 104.41
_cell_angle_gamma 90.00
_symmetry_space_group_name_H-M 'P 1'
_symmetry_Int_Tables_number 1
_symmetry_space_group_name_Hall 'P 1'
loop_
_atom_site_label
_atom_site_type_symbol
_atom_site_fract_x
_atom_site_fract_y
_atom_site_fract_z
Ni1 Ni 0.000 0.000 0.000
Sb1 Sb 0.447 0.500 0.893
Sb2 Sb 0.818 0.000 0.632
Te1 Te 0.125 0.500 0.247
```

=====

Here is an optimized crystal structure of CsFeRe2 from the Alexandria database. Energies are from PBE-GGA.

Values from the calculation:
* ΔE_f: 2240.4 meV per atom
* space-group type: Fm-3m (225)

Geometry as CIF:
```
data_CsFeRe2
_cell_length_a 4.597
_cell_length_b 4.597
_cell_length_c 4.597
_cell_angle_alpha 60.00
_cell_angle_beta 60.00
_cell_angle_gamma 60.00
_symmetry_space_group_name_H-M 'P 1'
_symmetry_Int_Tables_number 1
_symmetry_space_group_name_Hall 'P 1'
loop_
_atom_site_label
_atom_site_type_symbol
_atom_site_fract_x
_atom_site_fract_y
_atom_site_fract_z
Cs1 Cs 0.000 0.000 0.000
Fe1 Fe 0.500 0.500 0.500
Re1 Re 0.250 0.250 0.250
Re2 Re 0.750 0.750 0.750
```

=====

Number 1: total moment 0.00 μB per formula unit. Number 2: total moment 0.00 μB per formula unit. Number 3: total moment 0.15 μB per formula unit. Number 4: total moment 0.00 μB per formula unit. Number 5: total moment 1.93 μB per formula unit. Number 6: total moment 0.83 μB per formula unit. Number 7: total moment 0.00 μB per formula unit. Number 8: total moment 0.00 μB per formula unit. Number 9: total moment 0.00 μB per formula unit. Number 10: total moment 0.00 μB per formula unit. Number 11: total moment 0.00 μB per formula unit. Number 12: total moment 2.25 μB per formula unit.